No. 1
{"formula": "La7BiS5", "functional": "GGA-PBE", "state": "optimized geometry", "cell": [[4.2530, -0.0021, 0.0000], [-2.1298, 6.8457, 0.0088], [0.0000, -0.0252, 25.0064]], "species": ["La", "La", "La", "La", "La", "La", "La", "La", "La", "La", "La", "La", "La", "La", "Bi", "Bi", "S", "S", "S", "S", "S", "S", "S", "S", "S", "S"], "fractional_positions": [[0.4808, 0.9613, 0.2500], [0.5198, 0.0398, 0.7500], [0.6357, 0.2715, 0.0361], [0.3649, 0.7297, 0.9639], [0.3648, 0.7295, 0.5361], [0.6358, 0.2716, 0.4639], [0.1753, 0.3505, 0.1704], [0.8253, 0.6507, 0.8296], [0.8250, 0.6501, 0.6704], [0.1756, 0.3511, 0.3296], [0.9073, 0.8145, 0.1083], [0.0933, 0.1867, 0.8917], [0.0930, 0.1861, 0.6083], [0.9075, 0.8150, 0.3917], [0.7977, 0.5957, 0.2499], [0.2028, 0.4055, 0.7501], [0.0003, 0.0006, 0.0000], [0.7272, 0.4543, 0.9308], [0.2734, 0.5469, 0.0692], [0.5421, 0.0841, 0.3601], [0.4585, 0.9170, 0.6399], [0.0003, 0.0006, 0.5000], [0.2735, 0.5472, 0.4308], [0.7271, 0.4540, 0.5692], [0.4588, 0.9176, 0.8601], [0.5418, 0.0835, 0.1399]], "raw_formation_energy_kcal_per_mol_atoms": -41.713, "n_ef_per_ev_cell": 18.528, "sg": "C2/m", "magnetic_moment_mub_per_cell": 1.1}

No. 2
{"formula": "ScReIr2", "functional": "GGA-PBE", "state": "optimized geometry", "cell": [[2.8414, 0.0025, 0.0000], [-0.0024, 2.8414, 0.0000], [0.0000, 0.0000, 7.7882]], "species": ["Ir", "Ir", "Re", "Sc"], "fractional_positions": [[0.0000, 0.0000, 0.0173], [0.0000, 0.0000, 0.4827], [0.5000, 0.5000, 0.2500], [0.5000, 0.5000, 0.7500]], "e_form_ev_per_atom": -0.456, "n_ef_per_ev_cell": 2.914, "sg": "P4/mmm", "magnetic_moment_mub_per_cell": 0.0}

No. 3
{"formula": "TaReAg2", "functional": "GGA-PBE", "state": "optimized geometry", "cell": [[-0.3005, 3.6012, 3.2811], [-2.4227, -1.8472, 3.8135], [3.8996, -1.7493, -2.3574]], "species": ["Re", "Ag", "Ag", "Ta"], "fractional_positions": [[0.5000, 0.5000, 0.0000], [0.0000, 0.0000, 0.0000], [0.2500, 0.7500, 0.5000], [0.7500, 0.2500, 0.5000]], "e_form_ev_per_atom": 0.494, "n_ef_per_ev_cell": 1.592, "sg": "I-4m2", "magnetic_moment_mub_per_cell": 0.0}

No. 4
{"formula": "Ac2Dy", "functional": "GGA-PBE", "state": "optimized geometry", "cell": [[-1.1381, -1.3986, 4.0421], [3.7014, -2.4171, 0.2173], [1.7094, 6.7211, 0.3732]], "species": ["Ac", "Ac", "Dy"], "fractional_positions": [[0.1553, 0.1553, 0.3099], [0.8447, 0.8447, 0.6901], [0.5000, 0.5000, 0.0000]], "e_form_ev_per_atom": 0.128, "n_ef_per_ev_cell": 7.134, "sg": "Fmmm", "magnetic_moment_mub_per_cell": 0.0}

No. 5
{"formula": "ZnCdBiSb2", "functional": "GGA-PBE", "state": "optimized geometry", "cell": [[5.5930, 0.0000, 0.0000], [0.0000, 5.5930, 0.0000], [0.0000, 0.0000, 4.9320]], "species": ["Sb", "Sb", "Zn", "Bi", "Cd"], "fractional_positions": [[0.0000, 0.5000, 0.0000], [0.5000, 0.0000, 0.0000], [0.0000, 0.0000, 0.5000], [0.5000, 0.5000, 0.5000], [0.0000, 0.0000, 0.0000]], "raw_formation_energy_kcal_per_mol_atoms": 11.978, "n_ef_per_ev_cell": 3.768, "sg": "P4/mmm", "magnetic_moment_mub_per_cell": 0.0}

No. 6
{"formula": "La4TlHgI2", "functional": "GGA-PBE", "state": "optimized geometry", "cell": [[4.6162, 0.0000, 0.0000], [0.0000, 7.9657, -0.1489], [0.0000, 2.8140, 7.5469]], "species": ["La", "La", "La", "La", "Tl", "Hg", "I", "I"], "fractional_positions": [[0.0000, 0.7363, 0.7538], [0.0000, 0.2637, 0.2462], [0.5000, 0.7338, 0.2574], [0.5000, 0.2662, 0.7426], [0.5000, 0.5000, 0.0000], [0.0000, 0.5000, 0.5000], [0.0000, 0.0000, 0.0000], [0.5000, 0.0000, 0.5000]], "raw_formation_energy_kcal_per_mol_atoms": -16.234, "n_ef_per_ev_cell": 8.637, "sg": "P2/m", "magnetic_moment_mub_per_cell": 0.0}

No. 7
{"formula": "KZnCu2", "functional": "GGA-PBE", "state": "optimized geometry", "cell": [[-2.5444, -3.0919, -3.0047], [0.2318, -4.2169, 2.6881], [-1.5784, 4.4550, 1.6502]], "species": ["Cu", "Cu", "K", "Zn"], "fractional_positions": [[0.0000, 0.0000, 0.0000], [0.2500, 0.7500, 0.5000], [0.5000, 0.5000, 0.0000], [0.7500, 0.2500, 0.5000]], "e_form_ev_per_atom": 0.569, "n_ef_per_ev_cell": 1.086, "sg": "I-4m2", "magnetic_moment_mub_per_cell": 0.0}

No. 8
{"formula": "Rb2SnBi3Pb4", "functional": "GGA-PBE", "state": "optimized geometry", "cell": [[5.3118, 0.0000, 0.0000], [0.0000, 5.3118, 0.0000], [0.0000, 0.0000, 14.0780]], "species": ["Rb", "Rb", "Sn", "Bi", "Bi", "Bi", "Pb", "Pb", "Pb", "Pb"], "fractional_positions": [[0.5000, 0.0000, 0.2591], [0.0000, 0.5000, 0.7409], [0.5000, 0.5000, 0.5000], [0.0000, 0.0000, 0.5000], [0.5000, 0.0000, 0.8602], [0.0000, 0.5000, 0.1398], [0.5000, 0.5000, 0.0000], [0.0000, 0.0000, 0.0000], [0.5000, 0.0000, 0.6269], [0.0000, 0.5000, 0.3731]], "e_form_ev_per_atom": -0.142, "n_ef_per_ev_cell": 4.864, "sg": "P-4m2", "magnetic_moment_mub_per_cell": 0.0}